Entry 1:
This record from Alexandria via LeMat-Bulk describes UMn2Ge2 after structural relaxation. The functional is GGA-PBE.

Output
Crystal system = orthorhombic
Formation energy = -0.092 eV/atom

```
data_UMn2Ge2
_chemical_formula_sum 'U4 Mn8 Ge8'
_cell_length_a 5.3734
_cell_length_b 6.7835
_cell_length_c 8.8861
_cell_angle_alpha 90.00
_cell_angle_beta 90.00
_cell_angle_gamma 90.00
_space_group_name_H-M_alt 'F m m m'
_space_group_IT_number 69
_space_group_name_Hall '-F 2 2'
loop_
_atom_site_label
_atom_site_fract_x
_atom_site_fract_y
_atom_site_fract_z
U1 0.0000 0.0000 0.0000
Mn1 0.0000 0.0000 0.3841
Ge1 0.2500 0.2500 0.2500
```

---

Entry 2:
This record from Alexandria via LeMat-Bulk describes ScCdIr2 after structural relaxation. The functional is GGA-PBE.

Output
Crystal system = tetragonal
Formation energy = -0.404 eV/atom

```
data_ScCdIr2
_chemical_formula_sum 'Sc1 Cd1 Ir2'
_cell_length_a 3.2453
_cell_length_b 3.2453
_cell_length_c 6.4357
_cell_angle_alpha 90.00
_cell_angle_beta 90.00
_cell_angle_gamma 90.00
_space_group_name_H-M_alt 'P 4/m m m'
_space_group_IT_number 123
_space_group_name_Hall '-P 4 2'
loop_
_atom_site_label
_atom_site_fract_x
_atom_site_fract_y
_atom_site_fract_z
Sc1 0.0000 0.0000 0.0000
Cd1 0.0000 0.0000 0.5000
Ir1 0.5000 0.5000 0.2401
```

---

Entry 3:
This record from Alexandria via LeMat-Bulk describes CaSm8Y4 after structural relaxation. The functional is GGA-PBE.

Output
Crystal system = monoclinic
Formation energy = 0.039 eV/atom

```
data_CaSm8Y4
_chemical_formula_sum 'Ca2 Sm16 Y8'
_cell_length_a 11.4753
_cell_length_b 5.1289
_cell_length_c 14.9482
_cell_angle_alpha 90.00
_cell_angle_beta 94.32
_cell_angle_gamma 90.00
_space_group_name_H-M_alt 'C 1 2/m 1'
_space_group_IT_number 12
loop_
_space_group_symop_operation_xyz
'x,y,z'
'-x,-y,-z'
'-x,y,-z'
'x,-y,z'
'x+1/2,y+1/2,z'
'-x+1/2,-y+1/2,-z'
'-x+1/2,y+1/2,-z'
'x+1/2,-y+1/2,z'
loop_
_atom_site_label
_atom_site_fract_x
_atom_site_fract_y
_atom_site_fract_z
Ca1 0.0000 0.0000 0.0000
Sm1 0.0380 0.5000 0.3851
Sm2 0.0771 0.0000 0.7655
Sm3 0.1935 0.5000 0.9194
Sm4 0.2328 0.0000 0.3090
Y1 0.1203 0.5000 0.1590
Y2 0.1528 0.0000 0.5378
```

---

For each record above, in turn, the calculated DOS(E_F) values are 27.19, 1.68, 38.45 states/eV per cell.